[1]
# NbAg2TeO6, optimized geometry, DFT PBE
# Formation energy (no corrections)   -1.120 eV per atom
# Total energy   -0.4400 Ry per atom
# Magnetic moment   0.00 μB/f.u.
data_NbAg2TeO6
_symmetry_space_group_name_H-M 'P 4 m m'
_symmetry_Int_Tables_number 99
_symmetry_space_group_name_Hall 'P 4 -2'
_cell_length_a 5.705
_cell_length_b 5.705
_cell_length_c 4.107
_cell_angle_alpha 90.00
_cell_angle_beta 90.00
_cell_angle_gamma 90.00
loop_
_atom_site_label
_atom_site_fract_x
_atom_site_fract_y
_atom_site_fract_z
Nb1 0.000 0.000 0.000
Ag1 0.000 0.500 0.516
Te1 0.500 0.500 0.046
O1 0.000 0.000 0.547
O2 0.248 0.248 0.061
O3 0.500 0.500 0.547

=====

[2]
# NbAgTe2O8, optimized geometry, DFT PBE
# Formation energy (no corrections)   -1.119 eV per atom
# Total energy   -0.4428 Ry per atom
# Magnetic moment   0.00 μB/f.u.
data_NbAgTe2O8
_symmetry_space_group_name_H-M 'C 1 2/m 1'
_symmetry_Int_Tables_number 12
_symmetry_space_group_name_Hall '-C 2y'
_cell_length_a 12.928
_cell_length_b 5.633
_cell_length_c 5.051
_cell_angle_alpha 90.00
_cell_angle_beta 108.93
_cell_angle_gamma 90.00
loop_
_atom_site_label
_atom_site_fract_x
_atom_site_fract_y
_atom_site_fract_z
Nb1 0.000 0.000 0.000
Ag1 0.000 0.500 0.500
Te1 0.212 0.500 0.215
O1 0.041 0.000 0.431
O2 0.113 0.249 0.026
O3 0.180 0.500 0.549

=====

[3]
# NbTl2AgO4, optimized geometry, DFT PBE
# Formation energy (no corrections)   -1.374 eV per atom
# Total energy   -0.4454 Ry per atom
# Magnetic moment   0.00 μB/f.u.
data_NbTl2AgO4
_symmetry_space_group_name_H-M 'C 1 2 1'
_symmetry_Int_Tables_number 5
_symmetry_space_group_name_Hall 'C 2y'
_cell_length_a 8.136
_cell_length_b 10.059
_cell_length_c 5.753
_cell_angle_alpha 90.00
_cell_angle_beta 134.92
_cell_angle_gamma 90.00
loop_
_atom_site_label
_atom_site_fract_x
_atom_site_fract_y
_atom_site_fract_z
Nb1 0.000 0.000 0.000
Tl1 0.000 0.250 0.500
Tl2 0.000 0.500 0.000
Ag1 0.000 0.750 0.500
O1 0.161 0.893 0.946
O2 0.215 0.107 0.376